(1)
The following is a PBE calculation of crystalline SrEr2Pb9 at its relaxed geometry, from the Alexandria database.

a = 4.979 Å, b = 4.979 Å, c = 14.419 Å
α = 90.00°, β = 90.00°, γ = 90.00°
Element x y z (fractional)
Sr: 0.000 0.000 0.000
Er: 0.000 0.000 0.339
Er: 0.000 0.000 0.661
Pb: 0.000 0.500 0.175
Pb: 0.000 0.500 0.500
Pb: 0.000 0.500 0.825
Pb: 0.500 0.000 0.175
Pb: 0.500 0.000 0.500
Pb: 0.500 0.000 0.825
Pb: 0.500 0.500 0.000
Pb: 0.500 0.500 0.336
Pb: 0.500 0.500 0.664

Electronic total energy = -47.58 eV per formula unit
Crystal system = tetragonal
Total moment = 0.000 Bohr magnetons per cell



(2)
The following is a PBE calculation of crystalline Sr5ErPb6 at its relaxed geometry, from the Alexandria database.

a = 9.684 Å, b = 9.684 Å, c = 6.027 Å
α = 97.94°, β = 97.94°, γ = 46.12°
Element x y z (fractional)
Sr: 0.000 0.000 0.000
Sr: 0.165 0.165 0.677
Sr: 0.319 0.319 0.294
Sr: 0.681 0.681 0.706
Sr: 0.835 0.835 0.323
Er: 0.500 0.500 0.000
Pb: 0.118 0.574 0.810
Pb: 0.280 0.720 0.500
Pb: 0.426 0.882 0.190
Pb: 0.574 0.118 0.810
Pb: 0.720 0.280 0.500
Pb: 0.882 0.426 0.190

Electronic total energy = -41.31 eV per formula unit
Crystal system = monoclinic
Total moment = 0.000 Bohr magnetons per cell



(3)
The following is a PBE calculation of crystalline SrErPb at its relaxed geometry, from the Alexandria database.

a = 4.941 Å, b = 4.941 Å, c = 8.625 Å
α = 90.00°, β = 90.00°, γ = 90.00°
Element x y z (fractional)
Sr: 0.250 0.250 0.149
Sr: 0.750 0.750 0.851
Er: 0.250 0.750 0.500
Er: 0.750 0.250 0.500
Pb: 0.250 0.250 0.742
Pb: 0.750 0.750 0.258

Electronic total energy = -11.27 eV per formula unit
Crystal system = tetragonal
Total moment = 2.037 Bohr magnetons per cell



(4)
The following is a PBE calculation of crystalline SrErPb at its relaxed geometry, from the Alexandria database.

a = 8.442 Å, b = 8.442 Å, c = 4.994 Å
α = 90.00°, β = 90.00°, γ = 120.00°
Element x y z (fractional)
Sr: 0.000 0.414 0.000
Sr: 0.414 0.000 0.000
Sr: 0.586 0.586 0.000
Er: 0.000 0.749 0.500
Er: 0.251 0.251 0.500
Er: 0.749 0.000 0.500
Pb: 0.000 0.000 0.000
Pb: 0.333 0.667 0.500
Pb: 0.667 0.333 0.500

Electronic total energy = -11.09 eV per formula unit
Crystal system = hexagonal
Total moment = 2.860 Bohr magnetons per cell



(5)
The following is a PBE calculation of crystalline SrErPb2 at its relaxed geometry, from the Alexandria database.

a = 5.276 Å, b = 5.276 Å, c = 4.460 Å
α = 90.00°, β = 90.00°, γ = 90.00°
Element x y z (fractional)
Sr: 0.000 0.000 0.000
Er: 0.500 0.500 0.000
Pb: 0.000 0.500 0.500
Pb: 0.500 0.000 0.500

Electronic total energy = -15.18 eV per formula unit
Crystal system = tetragonal
Total moment = 0.000 Bohr magnetons per cell



(6)
The following is a PBE calculation of crystalline SrErPb6 at its relaxed geometry, from the Alexandria database.

a = 4.993 Å, b = 4.993 Å, c = 9.721 Å
α = 90.00°, β = 90.00°, γ = 90.00°
Element x y z (fractional)
Sr: 0.000 0.000 0.000
Er: 0.000 0.000 0.500
Pb: 0.000 0.500 0.259
Pb: 0.000 0.500 0.741
Pb: 0.500 0.000 0.259
Pb: 0.500 0.000 0.741
Pb: 0.500 0.500 0.000
Pb: 0.500 0.500 0.500

Electronic total energy = -30.93 eV per formula unit
Crystal system = tetragonal
Total moment = 0.000 Bohr magnetons per cell



Number 1: ΔH_f (0 K) -0.2831 eV per atom. Number 2: ΔH_f (0 K) -0.5071 eV per atom. Number 3: ΔH_f (0 K) -0.4380 eV per atom. Number 4: ΔH_f (0 K) -0.3779 eV per atom. Number 5: ΔH_f (0 K) -0.3794 eV per atom. Number 6: ΔH_f (0 K) -0.3043 eV per atom.